# 1
First-principles (PBE) data for a geometry-optimized RbSiSb structure, as listed in the Alexandria database.

a = 7.274 Å, b = 7.274 Å, c = 7.274 Å
α = 32.95°, β = 32.95°, γ = 32.95°
Fractional coordinates of all 3 atoms:
Rb: 0.000 0.000 0.000
Si: 0.796 0.796 0.796
Sb: 0.191 0.191 0.191

Raw formation energy in meV/atom: -105
Electronic total energy in eV/atom: -3.609
Density in g cm⁻³: 3.86

***

# 2
First-principles (PBE) data for a geometry-optimized CaMn2Ni2 structure, as listed in the Alexandria database.

a = 5.396 Å, b = 5.396 Å, c = 5.396 Å
α = 135.35°, β = 135.35°, γ = 64.99°
Fractional coordinates of all 5 atoms:
Ca: 0.000 0.000 0.000
Mn: 0.387 0.387 0.000
Mn: 0.613 0.613 0.000
Ni: 0.250 0.750 0.500
Ni: 0.750 0.250 0.500

Electronic total energy in eV/atom: -6.102
Fermi-level density of states in states/eV per cell: 5.062
Density in g cm⁻³: 5.80
Energy relative to the elements in eV per atom: 0.2783

***

# 3
First-principles (PBE) data for a geometry-optimized Pm2Be3Cu12Rh structure, as listed in the Alexandria database.

a = 7.699 Å, b = 7.699 Å, c = 7.699 Å
α = 54.45°, β = 54.45°, γ = 54.45°
Fractional coordinates of all 18 atoms:
Pm: 0.086 0.086 0.086
Pm: 0.914 0.914 0.914
Be: 0.000 0.500 0.500
Be: 0.500 0.000 0.500
Be: 0.500 0.500 0.000
Cu: 0.027 0.664 0.664
Cu: 0.275 0.275 0.629
Cu: 0.275 0.629 0.275
Cu: 0.336 0.336 0.973
Cu: 0.336 0.973 0.336
Cu: 0.371 0.725 0.725
Cu: 0.629 0.275 0.275
Cu: 0.664 0.027 0.664
Cu: 0.664 0.664 0.027
Cu: 0.725 0.371 0.725
Cu: 0.725 0.725 0.371
Cu: 0.973 0.336 0.336
Rh: 0.500 0.500 0.500

Electronic total energy in eV/atom: -4.024
Fermi-level density of states in states/eV per cell: 6.076
Density in g cm⁻³: 6.99
Energy relative to the elements in eV per atom: 0.2636

***

# 4
First-principles (PBE) data for a geometry-optimized KPuF4 structure, as listed in the Alexandria database.

a = 7.004 Å, b = 7.004 Å, c = 6.168 Å
α = 111.56°, β = 111.56°, γ = 106.26°
Fractional coordinates of all 12 atoms:
K: 0.144 0.856 0.750
K: 0.856 0.144 0.250
Pu: 0.464 0.536 0.250
Pu: 0.536 0.464 0.750
F: 0.189 0.291 0.777
F: 0.248 0.558 0.451
F: 0.291 0.189 0.277
F: 0.442 0.752 0.049
F: 0.558 0.248 0.951
F: 0.709 0.811 0.723
F: 0.752 0.442 0.549
F: 0.811 0.709 0.223

Raw formation energy in meV/atom: -3240
Electronic total energy in eV/atom: -7.059
Fermi-level density of states in states/eV per cell: 11.801
Density in g cm⁻³: 5.19

***

# 5
First-principles (PBE) data for a geometry-optimized SbSe2I structure, as listed in the Alexandria database.

a = 5.211 Å, b = 5.211 Å, c = 5.211 Å
α = 60.00°, β = 60.00°, γ = 60.00°
Fractional coordinates of all 4 atoms:
Sb: 0.000 0.000 0.000
Se: 0.250 0.250 0.250
Se: 0.750 0.750 0.750
I: 0.500 0.500 0.500

Raw formation energy in meV/atom: 399
Electronic total energy in eV/atom: -2.761
Fermi-level density of states in states/eV per cell: 3.735
Density in g cm⁻³: 6.75

***

# 6
First-principles (PBE) data for a geometry-optimized Sc2ZnSe structure, as listed in the Alexandria database.

a = 8.579 Å, b = 8.579 Å, c = 8.579 Å
α = 25.92°, β = 25.92°, γ = 25.92°
Fractional coordinates of all 4 atoms:
Sc: 0.099 0.099 0.099
Sc: 0.901 0.901 0.901
Zn: 0.500 0.500 0.500
Se: 0.000 0.000 0.000

Raw formation energy in meV/atom: -276
Electronic total energy in eV/atom: -4.631
Fermi-level density of states in states/eV per cell: 2.456
Density in g cm⁻³: 3.66

***

# 7
First-principles (PBE) data for a geometry-optimized SiSn2MoN structure, as listed in the Alexandria database.

a = 5.436 Å, b = 5.436 Å, c = 3.812 Å
α = 90.00°, β = 90.00°, γ = 90.00°
Fractional coordinates of all 5 atoms:
Si: 0.000 0.000 0.000
Sn: 0.000 0.500 0.500
Sn: 0.500 0.000 0.500
Mo: 0.500 0.500 0.500
N: 0.500 0.500 0.000

Raw formation energy in meV/atom: 683
Electronic total energy in eV/atom: -5.834
Fermi-level density of states in states/eV per cell: 5.899
Density in g cm⁻³: 5.54

***

# 8
First-principles (PBE) data for a geometry-optimized PrHoTh2 structure, as listed in the Alexandria database.

a = 11.958 Å, b = 11.958 Å, c = 11.958 Å
α = 17.25°, β = 17.25°, γ = 17.25°
Fractional coordinates of all 4 atoms:
Pr: 0.000 0.000 0.000
Ho: 0.170 0.170 0.170
Th: 0.583 0.583 0.583
Th: 0.754 0.754 0.754

Electronic total energy in eV/atom: -5.995
Fermi-level density of states in states/eV per cell: 5.589
Density in g cm⁻³: 9.75
Energy relative to the elements in eV per atom: 0.0539

***

# 9
First-principles (PBE) data for a geometry-optimized TeAsI2F structure, as listed in the Alexandria database.

a = 5.875 Å, b = 5.875 Å, c = 4.195 Å
α = 90.00°, β = 90.00°, γ = 90.00°
Fractional coordinates of all 5 atoms:
Te: 0.000 0.000 0.000
As: 0.500 0.500 0.000
I: 0.000 0.500 0.500
I: 0.500 0.000 0.500
F: 0.000 0.000 0.500

Raw formation energy in meV/atom: 297
Electronic total energy in eV/atom: -2.256
Fermi-level density of states in states/eV per cell: 5.352
Density in g cm⁻³: 5.45

***

# 10
First-principles (PBE) data for a geometry-optimized Ac2Y3Ni2 structure, as listed in the Alexandria database.

a = 6.521 Å, b = 6.521 Å, c = 9.333 Å
α = 113.39°, β = 113.39°, γ = 33.78°
Fractional coordinates of all 7 atoms:
Ac: 0.168 0.168 0.299
Ac: 0.832 0.832 0.701
Y: 0.382 0.382 0.079
Y: 0.500 0.500 0.500
Y: 0.618 0.618 0.921
Ni: 0.160 0.160 0.735
Ni: 0.840 0.840 0.265

Electronic total energy in eV/atom: -5.791
Fermi-level density of states in states/eV per cell: 8.689
Density in g cm⁻³: 6.93
Energy relative to the elements in eV per atom: -0.1950

***

# 11
First-principles (PBE) data for a geometry-optimized Pu2HCl2 structure, as listed in the Alexandria database.

a = 8.743 Å, b = 6.977 Å, c = 6.628 Å
α = 90.00°, β = 97.99°, γ = 90.00°
Fractional coordinates of all 20 atoms:
Pu: 0.093 0.096 0.316
Pu: 0.093 0.404 0.816
Pu: 0.364 0.576 0.272
Pu: 0.364 0.924 0.772
Pu: 0.636 0.076 0.228
Pu: 0.636 0.424 0.728
Pu: 0.907 0.596 0.184
Pu: 0.907 0.904 0.684
H: 0.131 0.094 0.676
H: 0.131 0.406 0.176
H: 0.869 0.594 0.824
H: 0.869 0.906 0.324
Cl: 0.143 0.695 0.523
Cl: 0.143 0.805 0.023
Cl: 0.408 0.213 0.467
Cl: 0.408 0.287 0.967
Cl: 0.592 0.713 0.033
Cl: 0.592 0.787 0.533
Cl: 0.857 0.195 0.977
Cl: 0.857 0.305 0.477

Electronic total energy in eV/atom: -8.115
Fermi-level density of states in states/eV per cell: 61.016
Density in g cm⁻³: 9.29

***

# 12
First-principles (PBE) data for a geometry-optimized ZrBi2Te structure, as listed in the Alexandria database.

a = 8.921 Å, b = 8.921 Å, c = 8.921 Å
α = 136.14°, β = 136.14°, γ = 63.77°
Fractional coordinates of all 8 atoms:
Zr: 0.000 0.000 0.000
Zr: 0.750 0.250 0.500
Bi: 0.090 0.625 0.965
Bi: 0.375 0.340 0.465
Bi: 0.660 0.125 0.035
Bi: 0.875 0.910 0.535
Te: 0.250 0.750 0.500
Te: 0.500 0.500 0.000

Raw formation energy in meV/atom: 431
Electronic total energy in eV/atom: -4.432
Fermi-level density of states in states/eV per cell: 6.776
Density in g cm⁻³: 6.29

***

# 13
First-principles (PBE) data for a geometry-optimized LaTb3Nd6Ho2 structure, as listed in the Alexandria database.

a = 6.303 Å, b = 6.303 Å, c = 11.996 Å
α = 95.03°, β = 95.03°, γ = 120.00°
Fractional coordinates of all 12 atoms:
La: 0.000 0.000 0.000
Tb: 0.167 0.833 0.500
Tb: 0.500 0.500 0.500
Tb: 0.833 0.167 0.500
Nd: 0.084 0.419 0.252
Nd: 0.250 0.250 0.748
Nd: 0.419 0.084 0.252
Nd: 0.581 0.916 0.748
Nd: 0.750 0.750 0.252
Nd: 0.916 0.581 0.748
Ho: 0.334 0.666 0.000
Ho: 0.666 0.334 0.000

Electronic total energy in eV/atom: -4.699
Fermi-level density of states in states/eV per cell: 15.938
Density in g cm⁻³: 7.40
Energy relative to the elements in eV per atom: 0.0163

***

# 14
First-principles (PBE) data for a geometry-optimized KCrSi2Os structure, as listed in the Alexandria database.

a = 4.571 Å, b = 4.571 Å, c = 4.632 Å
α = 90.00°, β = 90.00°, γ = 90.00°
Fractional coordinates of all 5 atoms:
K: 0.000 0.000 0.000
Cr: 0.500 0.500 0.500
Si: 0.000 0.500 0.500
Si: 0.500 0.000 0.500
Os: 0.500 0.500 0.000

Raw formation energy in meV/atom: 827
Electronic total energy in eV/atom: -5.732
Fermi-level density of states in states/eV per cell: 3.719
Density in g cm⁻³: 5.79

***

# 15
First-principles (PBE) data for a geometry-optimized Zr2AlPb2 structure, as listed in the Alexandria database.

a = 7.648 Å, b = 7.648 Å, c = 4.095 Å
α = 90.00°, β = 90.00°, γ = 90.00°
Fractional coordinates of all 10 atoms:
Zr: 0.151 0.349 0.000
Zr: 0.349 0.849 0.000
Zr: 0.651 0.151 0.000
Zr: 0.849 0.651 0.000
Al: 0.000 0.000 0.500
Al: 0.500 0.500 0.500
Pb: 0.151 0.651 0.500
Pb: 0.349 0.151 0.500
Pb: 0.651 0.849 0.500
Pb: 0.849 0.349 0.500

Electronic total energy in eV/atom: -5.536
Fermi-level density of states in states/eV per cell: 9.458
Density in g cm⁻³: 8.65
Energy relative to the elements in eV per atom: 0.1150

***

# 16
First-principles (PBE) data for a geometry-optimized RbBa2AgCl structure, as listed in the Alexandria database.

a = 7.174 Å, b = 7.174 Å, c = 5.633 Å
α = 90.00°, β = 90.00°, γ = 90.00°
Fractional coordinates of all 5 atoms:
Rb: 0.000 0.000 0.000
Ba: 0.000 0.500 0.000
Ba: 0.500 0.000 0.000
Ag: 0.500 0.500 0.500
Cl: 0.000 0.000 0.500

Raw formation energy in meV/atom: 56
Electronic total energy in eV/atom: -1.846
Fermi-level density of states in states/eV per cell: 1.781
Density in g cm⁻³: 2.88

***

# 17
First-principles (PBE) data for a geometry-optimized Ba4PdN structure, as listed in the Alexandria database.

a = 4.313 Å, b = 7.749 Å, c = 7.930 Å
α = 80.69°, β = 74.30°, γ = 90.00°
Fractional coordinates of all 6 atoms:
Ba: 0.101 0.382 0.298
Ba: 0.391 0.178 0.719
Ba: 0.609 0.822 0.281
Ba: 0.899 0.618 0.702
Pd: 0.000 0.000 0.500
N: 0.500 0.500 0.500

Raw formation energy in meV/atom: -354
Electronic total energy in eV/atom: -3.888
Fermi-level density of states in states/eV per cell: 3.458
Density in g cm⁻³: 4.42

***

# 18
First-principles (PBE) data for a geometry-optimized BaSr2MgO structure, as listed in the Alexandria database.

a = 5.217 Å, b = 5.217 Å, c = 5.890 Å
α = 90.00°, β = 90.00°, γ = 90.00°
Fractional coordinates of all 5 atoms:
Ba: 0.000 0.000 0.000
Sr: 0.000 0.500 0.500
Sr: 0.500 0.000 0.500
Mg: 0.500 0.500 0.000
O: 0.000 0.000 0.500

Raw formation energy in meV/atom: -1034
Electronic total energy in eV/atom: -3.402
Fermi-level density of states in states/eV per cell: 3.608
Density in g cm⁻³: 3.66

***

# 19
First-principles (PBE) data for a geometry-optimized Sn2BH structure, as listed in the Alexandria database.

a = 4.437 Å, b = 4.437 Å, c = 4.437 Å
α = 60.00°, β = 60.00°, γ = 60.00°
Fractional coordinates of all 4 atoms:
Sn: 0.250 0.250 0.250
Sn: 0.750 0.750 0.750
B: 0.000 0.000 0.000
H: 0.500 0.500 0.500

Electronic total energy in eV/atom: -3.621
Fermi-level density of states in states/eV per cell: 0.945
Density in g cm⁻³: 6.70

***

# 20
First-principles (PBE) data for a geometry-optimized ZrTa2Ru structure, as listed in the Alexandria database.

a = 4.659 Å, b = 4.659 Å, c = 3.255 Å
α = 90.00°, β = 90.00°, γ = 90.00°
Fractional coordinates of all 4 atoms:
Zr: 0.000 0.000 0.000
Ta: 0.000 0.500 0.500
Ta: 0.500 0.000 0.500
Ru: 0.500 0.500 0.000

Electronic total energy in eV/atom: -10.472
Fermi-level density of states in states/eV per cell: 4.493
Density in g cm⁻³: 13.03
Energy relative to the elements in eV per atom: -0.0892